DFT (PBE) results for a relaxed structure of NaAcN.

a b c (Å): 6.3218 6.3218 6.3218
angles (deg): 90.00 90.00 90.00
With the nearest neighbours (Å) after each atom.
Space group F-43m (No. 216)
Asymmetric unit:
Na: 0.0000 0.0000 0.0000  4 N 2.74
Ac: 0.0000 0.0000 0.5000  4 N 2.74
N: 0.2500 0.2500 0.2500  4 Ac 2.74, 4 Na 2.74

Output
- magnetization (μB/cell) = 3.65
- distance to the lowest polymorph of the same formula (meV per atom) = 408
- density of states at the Fermi level (states/eV/atom) = 0.31
- electronic total energy (eV/atom) = -4.779